Entry 1:
The following is a PBE calculation of Mn2BSb after structural relaxation, from Alexandria.

Computed properties:
formation energy from raw total energies	0.6763	eV per atom

Cell: 5.8038 5.8038 5.8038 Å, 90.00 90.00 90.00°
With the nearest neighbours (Å) after each atom.
Space group Fm-3m (No. 225)
Asymmetric unit:
Mn  0.2500  0.2500  0.2500 x8  4 Sb 2.51, 4 B 2.51
B  0.0000  0.0000  0.0000 x4  8 Mn 2.51
Sb  0.0000  0.0000  0.5000 x4  8 Mn 2.51

=====

Entry 2:
The following is a PBE calculation of TmScPtRh after structural relaxation, from Alexandria.

Computed properties:
E_form	-434	kJ/mol of formula units

Cell: 3.3260 3.3260 6.7338 Å, 90.00 90.00 90.00°
With the nearest neighbours (Å) after each atom.
Space group P4mm (No. 99)
Asymmetric unit:
Tm  0.0000  0.0000  0.0000 x1  4 Rh 2.93, 4 Pt 2.97
Sc  0.0000  0.0000  0.4887 x1  4 Rh 2.81, 4 Pt 2.86
Pt  0.5000  0.5000  0.7309 x1  4 Sc 2.86, 4 Tm 2.97, 1 Rh 3.18
Rh  0.5000  0.5000  0.2592 x1  4 Sc 2.81, 4 Tm 2.93

=====

Entry 3:
The following is a PBE calculation of Mg3SbN after structural relaxation, from Alexandria.

Computed properties:
formation energy from raw total energies	-0.4785	eV per atom

Cell: 6.1410 5.7918 7.3307 Å, 90.00 108.41 90.00°
With the nearest neighbours (Å) after each atom.
Space group P2_1 (No. 4)
Asymmetric unit:
Mg  0.1824  0.0000  0.1544 x2  1 N 2.00
Mg  0.3002  0.3089  0.5341 x2  2 N 2.08-2.10
Mg  0.3182  0.8068  0.5615 x2  2 N 2.07-2.11
Sb  0.0610  0.0710  0.7598 x2  6 Mg 2.78-3.07
N  0.4364  0.0509  0.4014 x2  5 Mg 2.00-2.11

=====

Entry 4:
The following is a PBE calculation of NaMg2GaHg4 after structural relaxation, from Alexandria.

Computed properties:
E_form	-109	kJ/mol of formula units

Cell: 5.0089 5.0089 25.0239 Å, 90.00 90.00 120.00°
With the nearest neighbours (Å) after each atom.
Space group R-3m (No. 166, hexagonal axes)
Asymmetric unit:
Na  0.0000  0.0000  0.0000 x3  8 Hg 3.09-3.14
Mg  0.0000  0.0000  0.2477 x6  8 Hg 3.06-3.23
Ga  0.0000  0.0000  0.5000 x3  8 Hg 3.07-3.08
Hg  0.0000  0.0000  0.1254 x6  4 Mg 3.06, 3 Ga 3.07, 1 Na 3.14
Hg  0.0000  0.0000  0.3768 x6  4 Mg 3.08-3.23, 1 Ga 3.08, 3 Na 3.09

=====

Entry 5:
The following is a PBE calculation of Mg3AsN after structural relaxation, from Alexandria.

Computed properties:
formation energy from raw total energies	0.6733	eV per atom

Cell: 4.8255 4.8255 19.1503 Å, 90.00 90.00 90.00°
With the nearest neighbours (Å) after each atom.
Space group I-4m2 (No. 119)
Asymmetric unit:
Mg  0.0000  0.0000  0.1922 x4  2 N 2.52, 2 As 2.65
Mg  0.0000  0.2438  0.6177 x8  2 Mg 2.35-2.47, 1 As 2.54
As  0.0000  0.0000  0.5000 x2  4 Mg 2.54
As  0.0000  0.5000  0.7500 x2  8 Mg 2.65-2.82
N  0.0000  0.5000  0.1548 x4  6 Mg 2.52-2.78

=====

Entry 6:
The following is a PBE calculation of Ca12Bi4SN3 after structural relaxation, from Alexandria.

Computed properties:
formation energy from raw total energies	-1.0742	eV per atom

Cell: 10.0594 10.0594 10.0594 Å, 90.00 90.00 90.00°
With the nearest neighbours (Å) after each atom.
Space group Im-3m (No. 229)
Asymmetric unit:
Ca  0.0000  0.0000  0.2694 x12  1 N 2.32
Ca  0.0000  0.2500  0.5000 x12  2 N 2.51
Bi  0.2500  0.2500  0.2500 x8  12 Ca 3.56
S  0.0000  0.0000  0.0000 x2  6 Ca 2.71
N  0.0000  0.0000  0.5000 x6  6 Ca 2.32-2.51

=====

Entry 7:
The following is a PBE calculation of AgAsP2Pb after structural relaxation, from Alexandria.

Computed properties:
E_form	298	kJ/mol of formula units

Cell: 4.8852 4.8852 4.9138 Å, 90.00 90.00 90.00°
With the nearest neighbours (Å) after each atom.
Space group P4/mmm (No. 123)
Asymmetric unit:
Ag  0.0000  0.0000  0.0000 x1  2 As 2.46
As  0.0000  0.0000  0.5000 x1  4 P 2.44, 2 Ag 2.46
P  0.0000  0.5000  0.5000 x2  2 As 2.44
Pb  0.5000  0.5000  0.0000 x1  4 Ag 3.45, 8 P 3.46

=====

Entry 8:
The following is a PBE calculation of UTiNbMo after structural relaxation, from Alexandria.

Computed properties:
E_form	44	kJ/mol of formula units

Cell: 6.5922 6.5922 6.5922 Å, 90.00 90.00 90.00°
With the nearest neighbours (Å) after each atom.
Space group F-43m (No. 216)
Asymmetric unit:
U  0.0000  0.0000  0.0000 x4  4 Ti 2.85, 4 Mo 2.85
Ti  0.2500  0.2500  0.7500 x4  4 Nb 2.85, 4 U 2.85
Nb  0.0000  0.0000  0.5000 x4  4 Mo 2.85, 4 Ti 2.85
Mo  0.2500  0.2500  0.2500 x4  4 U 2.85, 4 Nb 2.85

=====

no.,uncorrected energy (eV/atom)
1,-6.608
2,-7.173
3,-3.925
4,-1.235
5,-2.878
6,-4.507
7,-3.787
8,-9.907